MoWO6: optimized geometry, PBE+U.

Values from the calculation:
- Density: 5.35 g cm⁻³
- Energy relative to the lowest polymorph listed for this composition: 14 meV/atom
- DOS at the Fermi energy: 0.000 states/eV/atom

a b c (Å): 5.474 5.474 5.497
angles (deg): 60.12 60.12 60.02
Positions (direct):
1 Mo 0.485 0.485 0.497
2 W 0.985 0.985 0.995
3 O 0.749 0.253 0.199
4 O 0.253 0.754 0.695
5 O 0.750 0.750 0.194
6 O 0.253 0.749 0.199
7 O 0.754 0.253 0.695
8 O 0.252 0.252 0.700